Entry 1:
A crystal of TcTePt2 relaxed with PBEsol, computed with meta-GGA SCAN.

Structure (CIF):
```
data_TcTePt2
_chemical_formula_sum 'Tc4 Te4 Pt8'
_cell_length_a 6.386
_cell_length_b 6.386
_cell_length_c 6.386
_cell_angle_alpha 90.00
_cell_angle_beta 90.00
_cell_angle_gamma 90.00
_space_group_name_H-M_alt 'F -4 3 m'
_space_group_IT_number 216
_space_group_name_Hall 'F -4 2 3'
loop_
_atom_site_label
_atom_site_type_symbol
_atom_site_fract_x
_atom_site_fract_y
_atom_site_fract_z
Tc1 Tc 0.000 0.000 0.000
Te1 Te 0.250 0.250 0.250
Pt1 Pt 0.000 0.000 0.500
Pt2 Pt 0.250 0.250 0.750
```

Computed properties:
N(E_F) (states/eV per cell): 11.185
Formation energy (no corrections) (eV per atom): 0.2191
Total magnetization (μB/cell): 6.88

Entry 2:
A crystal of TcTe4Pt relaxed with PBEsol, computed with meta-GGA SCAN.

Structure (CIF):
```
data_TcTe4Pt
_chemical_formula_sum 'Tc4 Te16 Pt4'
_cell_length_a 8.461
_cell_length_b 8.461
_cell_length_c 8.461
_cell_angle_alpha 90.00
_cell_angle_beta 90.00
_cell_angle_gamma 90.00
_space_group_name_H-M_alt 'F -4 3 m'
_space_group_IT_number 216
_space_group_name_Hall 'F -4 2 3'
loop_
_atom_site_label
_atom_site_type_symbol
_atom_site_fract_x
_atom_site_fract_y
_atom_site_fract_z
Tc1 Tc 0.000 0.000 0.000
Te1 Te 0.124 0.124 0.376
Pt1 Pt 0.250 0.250 0.750
```

Computed properties:
N(E_F) (states/eV per cell): 16.745
Formation energy (no corrections) (eV per atom): 1.3010
Total magnetization (μB/cell): 17.34

Entry 3:
A crystal of Tl2TcPt relaxed with PBEsol, computed with meta-GGA SCAN.

Structure (CIF):
```
data_Tl2TcPt
_chemical_formula_sum 'Tl6 Tc3 Pt3'
_cell_length_a 3.0382
_cell_length_b 3.0382
_cell_length_c 28.7770
_cell_angle_alpha 90.00
_cell_angle_beta 90.00
_cell_angle_gamma 120.00
_space_group_name_H-M_alt 'R 3 m'
_space_group_IT_number 160
_space_group_name_Hall 'R 3 -2"'
loop_
_atom_site_label
_atom_site_type_symbol
_atom_site_fract_x
_atom_site_fract_y
_atom_site_fract_z
Tl1 Tl 0.0000 0.0000 0.0000
Tl2 Tl 0.0000 0.0000 0.2333
Tc1 Tc 0.0000 0.0000 0.7483
Pt1 Pt 0.0000 0.0000 0.4826
```

Computed properties:
N(E_F) (states/eV per cell): 7.318
Formation energy from the elements (kJ per mole of atoms): 46.7
ΔE to the lowest computed polymorph (eV/f.u.): 0.472
Total magnetization (μB/cell): 0.00

Entry 4:
A crystal of Tl2TcPt relaxed with PBEsol, computed with meta-GGA SCAN.

Structure (CIF):
```
data_Tl2TcPt
_chemical_formula_sum 'Tl2 Tc1 Pt1'
_cell_length_a 2.880
_cell_length_b 3.595
_cell_length_c 7.949
_cell_angle_alpha 90.00
_cell_angle_beta 90.00
_cell_angle_gamma 90.00
_space_group_name_H-M_alt 'P m m 2'
_space_group_IT_number 25
loop_
_space_group_symop_operation_xyz
'x,y,z'
'-x,-y,z'
'-x,y,z'
'x,-y,z'
loop_
_atom_site_label
_atom_site_type_symbol
_atom_site_fract_x
_atom_site_fract_y
_atom_site_fract_z
Tl1 Tl 0.000 0.000 0.000
Tl2 Tl 0.500 0.500 0.334
Tc1 Tc 0.500 0.500 0.746
Pt1 Pt 0.000 0.000 0.599
```

Computed properties:
N(E_F) (states/eV per cell): 3.236
Formation energy from the elements (kJ per mole of atoms): 35.3
ΔE to the lowest computed polymorph (eV/f.u.): 0.000
Total magnetization (μB/cell): 0.00

Entry 5:
A crystal of Tl2TcPt relaxed with PBEsol, computed with meta-GGA SCAN.

Structure (CIF):
```
data_Tl2TcPt
_chemical_formula_sum 'Tl8 Tc4 Pt4'
_cell_length_a 6.730
_cell_length_b 6.730
_cell_length_c 6.730
_cell_angle_alpha 90.00
_cell_angle_beta 90.00
_cell_angle_gamma 90.00
_space_group_name_H-M_alt 'F -4 3 m'
_space_group_IT_number 216
_space_group_name_Hall 'F -4 2 3'
loop_
_atom_site_label
_atom_site_type_symbol
_atom_site_fract_x
_atom_site_fract_y
_atom_site_fract_z
Tl1 Tl 0.000 0.000 0.000
Tl2 Tl 0.250 0.250 0.250
Tc1 Tc 0.250 0.250 0.750
Pt1 Pt 0.000 0.000 0.500
```

Computed properties:
N(E_F) (states/eV per cell): 8.607
Formation energy from the elements (kJ per mole of atoms): 62.5
ΔE to the lowest computed polymorph (eV/f.u.): 1.128
Total magnetization (μB/cell): 12.59

Entry 6:
A crystal of TcPtW relaxed with PBEsol, computed with meta-GGA SCAN.

Structure (CIF):
```
data_TcPtW
_chemical_formula_sum 'Tc2 Pt2 W2'
_cell_length_a 2.738
_cell_length_b 2.738
_cell_length_c 11.859
_cell_angle_alpha 90.00
_cell_angle_beta 90.00
_cell_angle_gamma 90.00
_space_group_name_H-M_alt 'I 4 m m'
_space_group_IT_number 107
_space_group_name_Hall 'I 4 -2'
loop_
_atom_site_label
_atom_site_type_symbol
_atom_site_fract_x
_atom_site_fract_y
_atom_site_fract_z
Tc1 Tc 0.000 0.000 0.000
Pt1 Pt 0.000 0.000 0.332
W1 W 0.000 0.000 0.662
```

Computed properties:
N(E_F) (states/eV per cell): 4.465
Formation energy from the elements (kJ per mole of atoms): -8.2
Total magnetization (μB/cell): 0.00

Entry 7:
A crystal of YTc2Pt relaxed with PBEsol, computed with meta-GGA SCAN.

Structure (CIF):
```
data_YTc2Pt
_chemical_formula_sum 'Y1 Tc2 Pt1'
_cell_length_a 3.001
_cell_length_b 3.001
_cell_length_c 7.531
_cell_angle_alpha 90.00
_cell_angle_beta 90.00
_cell_angle_gamma 90.00
_space_group_name_H-M_alt 'P 4 m m'
_space_group_IT_number 99
loop_
_space_group_symop_operation_xyz
'x,y,z'
'-y,x,z'
'-x,-y,z'
'y,-x,z'
'-x,y,z'
'y,x,z'
'x,-y,z'
'-y,-x,z'
loop_
_atom_site_label
_atom_site_type_symbol
_atom_site_fract_x
_atom_site_fract_y
_atom_site_fract_z
Y1 Y 0.000 0.000 0.000
Tc1 Tc 0.000 0.000 0.528
Tc2 Tc 0.500 0.500 0.709
Pt1 Pt 0.500 0.500 0.279
```

Computed properties:
N(E_F) (states/eV per cell): 3.389
Formation energy from the elements (kJ per mole of atoms): -26.1
ΔE to the lowest computed polymorph (eV/f.u.): 0.000
Total magnetization (μB/cell): 0.00

Entry 8:
A crystal of YTc2Pt relaxed with PBEsol, computed with meta-GGA SCAN.

Structure (CIF):
```
data_YTc2Pt
_chemical_formula_sum 'Y1 Tc2 Pt1'
_cell_length_a 2.899
_cell_length_b 4.386
_cell_length_c 5.400
_cell_angle_alpha 90.00
_cell_angle_beta 100.80
_cell_angle_gamma 90.00
_space_group_name_H-M_alt 'P 1 m 1'
_space_group_IT_number 6
loop_
_space_group_symop_operation_xyz
'x,y,z'
'x,-y,z'
loop_
_atom_site_label
_atom_site_type_symbol
_atom_site_fract_x
_atom_site_fract_y
_atom_site_fract_z
Y1 Y 0.000 0.000 0.000
Tc1 Tc 0.261 0.500 0.643
Tc2 Tc 0.583 0.000 0.514
Pt1 Pt 0.573 0.500 0.205
```

Computed properties:
N(E_F) (states/eV per cell): 2.515
Formation energy from the elements (kJ per mole of atoms): -19.5
ΔE to the lowest computed polymorph (eV/f.u.): 0.276
Total magnetization (μB/cell): 0.00

Entry 9:
A crystal of YTc2Pt relaxed with PBEsol, computed with meta-GGA SCAN.

Structure (CIF):
```
data_YTc2Pt
_chemical_formula_sum 'Y2 Tc4 Pt2'
_cell_length_a 4.207
_cell_length_b 4.207
_cell_length_c 7.456
_cell_angle_alpha 90.00
_cell_angle_beta 90.00
_cell_angle_gamma 90.00
_space_group_name_H-M_alt 'I -4 m 2'
_space_group_IT_number 119
_space_group_name_Hall 'I -4 -2'
loop_
_atom_site_label
_atom_site_type_symbol
_atom_site_fract_x
_atom_site_fract_y
_atom_site_fract_z
Y1 Y 0.000 0.000 0.000
Tc1 Tc 0.000 0.000 0.500
Tc2 Tc 0.000 0.500 0.750
Pt1 Pt 0.000 0.500 0.250
```

Computed properties:
N(E_F) (states/eV per cell): 6.372
Formation energy from the elements (kJ per mole of atoms): -10.1
ΔE to the lowest computed polymorph (eV/f.u.): 0.666
Total magnetization (μB/cell): 1.30

Entry 10:
A crystal of YTc2Pt relaxed with PBEsol, computed with meta-GGA SCAN.

Structure (CIF):
```
data_YTc2Pt
_chemical_formula_sum 'Y2 Tc4 Pt2'
_cell_length_a 5.406
_cell_length_b 9.467
_cell_length_c 2.749
_cell_angle_alpha 90.00
_cell_angle_beta 111.22
_cell_angle_gamma 90.00
_space_group_name_H-M_alt 'C 1 2/m 1'
_space_group_IT_number 12
loop_
_space_group_symop_operation_xyz
'x,y,z'
'-x,-y,-z'
'-x,y,-z'
'x,-y,z'
'x+1/2,y+1/2,z'
'-x+1/2,-y+1/2,-z'
'-x+1/2,y+1/2,-z'
'x+1/2,-y+1/2,z'
loop_
_atom_site_label
_atom_site_type_symbol
_atom_site_fract_x
_atom_site_fract_y
_atom_site_fract_z
Y1 Y 0.000 0.000 0.000
Tc1 Tc 0.250 0.250 0.500
Pt1 Pt 0.000 0.500 0.000
```

Computed properties:
N(E_F) (states/eV per cell): 7.721
Formation energy from the elements (kJ per mole of atoms): 4.4
ΔE to the lowest computed polymorph (eV/f.u.): 1.264
Total magnetization (μB/cell): 0.00

Entry 11:
A crystal of ZnTcPt2 relaxed with PBEsol, computed with meta-GGA SCAN.

Structure (CIF):
```
data_ZnTcPt2
_chemical_formula_sum 'Zn1 Tc1 Pt2'
_cell_length_a 2.718
_cell_length_b 2.718
_cell_length_c 7.676
_cell_angle_alpha 90.00
_cell_angle_beta 90.00
_cell_angle_gamma 90.00
_space_group_name_H-M_alt 'P 4/m m m'
_space_group_IT_number 123
_space_group_name_Hall '-P 4 2'
loop_
_atom_site_label
_atom_site_type_symbol
_atom_site_fract_x
_atom_site_fract_y
_atom_site_fract_z
Zn1 Zn 0.000 0.000 0.000
Tc1 Tc 0.000 0.000 0.500
Pt1 Pt 0.500 0.500 0.251
```

Computed properties:
N(E_F) (states/eV per cell): 2.534
Formation energy from the elements (kJ per mole of atoms): -37.5
Total magnetization (μB/cell): 0.00

Entry 12:
A crystal of ZnTcPt2 relaxed with PBEsol, computed with meta-GGA SCAN.

Structure (CIF):
```
data_ZnTcPt2
_chemical_formula_sum 'Zn1 Tc1 Pt2'
_cell_length_a 2.724
_cell_length_b 3.791
_cell_length_c 5.564
_cell_angle_alpha 90.00
_cell_angle_beta 90.00
_cell_angle_gamma 90.00
_space_group_name_H-M_alt 'P m m 2'
_space_group_IT_number 25
loop_
_space_group_symop_operation_xyz
'x,y,z'
'-x,-y,z'
'-x,y,z'
'x,-y,z'
loop_
_atom_site_label
_atom_site_type_symbol
_atom_site_fract_x
_atom_site_fract_y
_atom_site_fract_z
Zn1 Zn 0.000 0.000 0.000
Tc1 Tc 0.500 0.500 0.724
Pt1 Pt 0.000 0.000 0.512
Pt2 Pt 0.500 0.500 0.220
```

Computed properties:
N(E_F) (states/eV per cell): 2.183
Formation energy from the elements (kJ per mole of atoms): -19.3
Total magnetization (μB/cell): 0.00

- Among the records above, which one has the lowest N(E_F)?
  number 12

- Look up the N(E_F) of the third one.
  7.318 states/eV per cell

- The highest total magnetization belongs to which entry?
  TcTe4Pt